{
  "formula": "K2In3Hg8",
  "functional": "PBE-GGA",
  "state": "relaxed",
  "e_tot_ry_per_atom": -0.082,
  "delta_e_f_ev_per_atom": -0.131,
  "total_magnetization_mub_per_cell": 0.00,
  "n_ef_per_ev_cell": 5.255,
  "spacegroup": "No. 12",
  "lattice_angstrom": [[9.2147, -3.2952, 0.0000], [9.2147, 3.2952, 0.0000], [-0.9840, 0.0000, 6.2355]],
  "species": ["K", "K", "In", "In", "In", "Hg", "Hg", "Hg", "Hg", "Hg", "Hg", "Hg", "Hg"],
  "fractional_positions": [[0.1839, 0.1839, 0.2997], [0.8161, 0.8161, 0.7003], [0.0000, 0.0000, 0.5000], [0.2355, 0.7645, 0.0000], [0.7645, 0.2355, 0.0000], [0.1209, 0.6093, 0.2287], [0.2804, 0.2804, 0.8401], [0.3907, 0.8791, 0.7713], [0.4250, 0.4250, 0.6343], [0.5750, 0.5750, 0.3657], [0.6093, 0.1209, 0.2287], [0.7196, 0.7196, 0.1599], [0.8791, 0.3907, 0.7713]]
}

---

{
  "formula": "CePr3Tm2S6",
  "functional": "PBE-GGA",
  "state": "relaxed",
  "e_tot_ry_per_atom": -0.478,
  "total_magnetization_mub_per_cell": 0.60,
  "n_ef_per_ev_cell": 8.484,
  "raw_formation_energy_mev_per_atom": -2002,
  "spacegroup": "No. 12",
  "lattice_angstrom": [[3.4456, -5.9804, 0.0000], [3.4456, 5.9804, 0.0000], [-2.3144, 0.0000, 6.6153]],
  "species": ["Ce", "Pr", "Pr", "Pr", "Tm", "Tm", "S", "S", "S", "S", "S", "S"],
  "fractional_positions": [[0.0000, 0.0000, 0.0000], [0.1641, 0.8359, 0.5000], [0.5000, 0.5000, 0.5000], [0.8359, 0.1641, 0.5000], [0.3330, 0.6670, 0.0000], [0.6670, 0.3330, 0.0000], [0.0773, 0.4196, 0.2318], [0.2662, 0.2662, 0.7708], [0.4196, 0.0773, 0.2318], [0.5804, 0.9227, 0.7682], [0.7338, 0.7338, 0.2292], [0.9227, 0.5804, 0.7682]]
}

---

{
  "formula": "Ba2AcPuSe4",
  "functional": "PBE-GGA",
  "state": "relaxed",
  "e_tot_ry_per_atom": -0.467,
  "total_magnetization_mub_per_cell": 5.96,
  "n_ef_per_ev_cell": 15.970,
  "raw_formation_energy_mev_per_atom": -1830,
  "spacegroup": "No. 10",
  "lattice_angstrom": [[7.7597, 0.0000, 0.0000], [0.0000, 4.4811, 0.0000], [-2.5959, 0.0000, 7.4823]],
  "species": ["Ba", "Ba", "Ac", "Pu", "Se", "Se", "Se", "Se"],
  "fractional_positions": [[0.0000, 0.0000, 0.0000], [0.5000, 0.5000, 0.0000], [0.0000, 0.5000, 0.5000], [0.5000, 0.0000, 0.5000], [0.2512, 0.0000, 0.7292], [0.2679, 0.5000, 0.2775], [0.7321, 0.5000, 0.7225], [0.7488, 0.0000, 0.2708]]
}

---

What did the second record say?
{
  "formula": "CePr3Tm2S6",
  "functional": "PBE-GGA",
  "state": "relaxed",
  "e_tot_ry_per_atom": -0.478,
  "total_magnetization_mub_per_cell": 0.60,
  "n_ef_per_ev_cell": 8.484,
  "raw_formation_energy_mev_per_atom": -2002,
  "spacegroup": "No. 12",
  "lattice_angstrom": [[3.4456, -5.9804, 0.0000], [3.4456, 5.9804, 0.0000], [-2.3144, 0.0000, 6.6153]],
  "species": ["Ce", "Pr", "Pr", "Pr", "Tm", "Tm", "S", "S", "S", "S", "S", "S"],
  "fractional_positions": [[0.0000, 0.0000, 0.0000], [0.1641, 0.8359, 0.5000], [0.5000, 0.5000, 0.5000], [0.8359, 0.1641, 0.5000], [0.3330, 0.6670, 0.0000], [0.6670, 0.3330, 0.0000], [0.0773, 0.4196, 0.2318], [0.2662, 0.2662, 0.7708], [0.4196, 0.0773, 0.2318], [0.5804, 0.9227, 0.7682], [0.7338, 0.7338, 0.2292], [0.9227, 0.5804, 0.7682]]
}

---

Q: What is the formula in the first record?
A: K2In3Hg8

---

Q: Which formula does entry 3 have?
A: Ba2AcPuSe4